{
  "formula": "BaSrTe2",
  "functional": "PBE",
  "state": "relaxed",
  "cell": [[4.8933, 0.0000, 0.0000], [0.0000, 4.8933, 0.0000], [0.0000, 0.0000, 6.9195]],
  "species": ["Ba", "Sr", "Te", "Te"],
  "frac_coords": [[0.0000, 0.0000, 0.0000], [0.5000, 0.5000, 0.5000], [0.0000, 0.0000, 0.5000], [0.5000, 0.5000, 0.0000]],
  "spacegroup": "P4/mmm (123)",
  "polymorph_energy_mev_per_atom": 17,
  "raw_formation_energy_ev_per_atom": -1.75,
  "total_energy_ev_per_fu": -16.871
}

***

{
  "formula": "BaSr2Te",
  "functional": "PBE",
  "state": "relaxed",
  "cell": [[2.2625, 1.3063, 11.4554], [-2.2625, 1.3063, 11.4554], [0.0000, -2.6125, 11.4554]],
  "species": ["Ba", "Sr", "Sr", "Te"],
  "frac_coords": [[0.0000, 0.0000, 0.0000], [0.5586, 0.5586, 0.5586], [0.7724, 0.7724, 0.7724], [0.1652, 0.1652, 0.1652]],
  "spacegroup": "R3m (160)",
  "raw_formation_energy_ev_per_atom": -0.77,
  "total_energy_ev_per_fu": -11.526
}

***

{
  "formula": "BaSr2Te",
  "functional": "PBE",
  "state": "relaxed",
  "cell": [[-2.6073, 2.6073, 6.6743], [2.6073, -2.6073, 6.6743], [2.6073, 2.6073, -6.6743]],
  "species": ["Ba", "Sr", "Sr", "Te"],
  "frac_coords": [[0.0000, 0.0000, 0.0000], [0.2500, 0.7500, 0.5000], [0.7500, 0.2500, 0.5000], [0.5000, 0.5000, 0.0000]],
  "spacegroup": "I4/mmm (139)",
  "raw_formation_energy_ev_per_atom": -0.57,
  "total_energy_ev_per_fu": -10.690
}

***

{
  "formula": "Ba2SrTe",
  "functional": "PBE",
  "state": "relaxed",
  "cell": [[-5.5654, 5.5654, 3.5761], [5.5654, -5.5654, 3.5761], [5.5654, 5.5654, -3.5761]],
  "species": ["Ba", "Ba", "Ba", "Ba", "Sr", "Sr", "Te", "Te"],
  "frac_coords": [[0.0327, 0.6250, 0.9077], [0.3750, 0.2827, 0.4077], [0.7173, 0.1250, 0.0923], [0.8750, 0.9673, 0.5923], [0.2500, 0.7500, 0.5000], [0.5000, 0.5000, 0.0000], [0.0000, 0.0000, 0.0000], [0.7500, 0.2500, 0.5000]],
  "spacegroup": "I-42d (122)",
  "raw_formation_energy_ev_per_atom": -0.60,
  "total_energy_ev_per_fu": -11.062
}

***

{
  "formula": "Ba3SrTe",
  "functional": "PBE",
  "state": "relaxed",
  "cell": [[6.5291, 0.0000, 0.0000], [0.0000, 6.5291, 0.0000], [0.0000, 0.0000, 6.5291]],
  "species": ["Ba", "Ba", "Ba", "Sr", "Te"],
  "frac_coords": [[0.0000, 0.0000, 0.5000], [0.0000, 0.5000, 0.0000], [0.5000, 0.0000, 0.0000], [0.0000, 0.0000, 0.0000], [0.5000, 0.5000, 0.5000]],
  "spacegroup": "Pm-3m (221)",
  "polymorph_energy_mev_per_atom": 909,
  "raw_formation_energy_ev_per_atom": 0.36,
  "total_energy_ev_per_fu": -8.767
}

***

{
  "formula": "BaSr2Te2",
  "functional": "PBE",
  "state": "relaxed",
  "cell": [[-2.5553, 2.5553, 7.8550], [2.5553, -2.5553, 7.8550], [2.5553, 2.5553, -7.8550]],
  "species": ["Ba", "Sr", "Sr", "Te", "Te"],
  "frac_coords": [[0.0000, 0.0000, 0.0000], [0.2500, 0.7500, 0.5000], [0.7500, 0.2500, 0.5000], [0.3852, 0.3852, 0.0000], [0.6148, 0.6148, 0.0000]],
  "spacegroup": "I4/mmm (139)",
  "polymorph_energy_mev_per_atom": 193,
  "raw_formation_energy_ev_per_atom": -1.07,
  "total_energy_ev_per_fu": -16.908
}

***

{
  "formula": "BaSr4Te",
  "functional": "PBE",
  "state": "relaxed",
  "cell": [[0.0000, 5.3880, 5.3880], [5.3880, 0.0000, 5.3880], [5.3880, 5.3880, 0.0000]],
  "species": ["Ba", "Sr", "Sr", "Sr", "Sr", "Te"],
  "frac_coords": [[0.0000, 0.0000, 0.0000], [0.1250, 0.6250, 0.6250], [0.6250, 0.1250, 0.6250], [0.6250, 0.6250, 0.1250], [0.6250, 0.6250, 0.6250], [0.2500, 0.2500, 0.2500]],
  "spacegroup": "F-43m (216)",
  "raw_formation_energy_ev_per_atom": -0.01,
  "total_energy_ev_per_fu": -11.859
}

***

{
  "formula": "BaSr2Te2",
  "functional": "PBE",
  "state": "relaxed",
  "cell": [[-3.0360, 3.0360, 6.2914], [3.0360, -3.0360, 6.2914], [3.0360, 3.0360, -6.2914]],
  "species": ["Ba", "Sr", "Sr", "Te", "Te"],
  "frac_coords": [[0.0000, 0.0000, 0.0000], [0.3384, 0.3384, 0.0000], [0.6616, 0.6616, 0.0000], [0.2500, 0.7500, 0.5000], [0.7500, 0.2500, 0.5000]],
  "spacegroup": "I4/mmm (139)",
  "polymorph_energy_mev_per_atom": 181,
  "raw_formation_energy_ev_per_atom": -1.08,
  "total_energy_ev_per_fu": -16.966
}